Record 1
# PuInCuPd | Alexandria | GGA-PBE | relaxed
# * total DFT energy (no corrections): -6.81 eV per atom
# * Fermi-level density of states: 14.068 states/eV/f.u.
# * DFT formation energy: -0.224 eV/atom
data_PuInCuPd
_cell_length_a 6.827
_cell_length_b 6.827
_cell_length_c 6.827
_cell_angle_alpha 90.00
_cell_angle_beta 90.00
_cell_angle_gamma 90.00
_symmetry_space_group_name_H-M 'F -4 3 m'
_symmetry_Int_Tables_number 216
_symmetry_space_group_name_Hall 'F -4 2 3'
loop_
_atom_site_label
_atom_site_type_symbol
_atom_site_fract_x
_atom_site_fract_y
_atom_site_fract_z
_atom_site_occupancy
Pu1 Pu 0.000 0.000 0.000 1
In1 In 0.000 0.000 0.500 1
Cu1 Cu 0.250 0.250 0.750 1
Pd1 Pd 0.250 0.250 0.250 1

***

Record 2
# PuIn4CuPd2 | Alexandria | GGA-PBE | relaxed
# * total DFT energy (no corrections): -5.20 eV per atom
# * Fermi-level density of states: 15.824 states/eV/f.u.
# * DFT formation energy: -0.228 eV/atom
data_PuIn4CuPd2
_cell_length_a 4.6034
_cell_length_b 4.6034
_cell_length_c 27.5810
_cell_angle_alpha 90.00
_cell_angle_beta 90.00
_cell_angle_gamma 120.00
_symmetry_space_group_name_H-M 'R -3 m'
_symmetry_Int_Tables_number 166
_symmetry_space_group_name_Hall '-R 3 2"'
loop_
_atom_site_label
_atom_site_type_symbol
_atom_site_fract_x
_atom_site_fract_y
_atom_site_fract_z
_atom_site_occupancy
Pu1 Pu 0.0000 0.0000 0.0000 1
In1 In 0.0000 0.0000 0.1309 1
In2 In 0.0000 0.0000 0.3972 1
Cu1 Cu 0.0000 0.0000 0.5000 1
Pd1 Pd 0.0000 0.0000 0.2371 1

***

Record 3
# RbIn2CuPd | Alexandria | GGA-PBE | relaxed
# * total DFT energy (no corrections): -2.90 eV per atom
# * Fermi-level density of states: 1.546 states/eV/f.u.
# * DFT formation energy: 0.244 eV/atom
data_RbIn2CuPd
_cell_length_a 5.171
_cell_length_b 5.171
_cell_length_c 6.209
_cell_angle_alpha 90.00
_cell_angle_beta 90.00
_cell_angle_gamma 90.00
_symmetry_space_group_name_H-M 'P 4/m m m'
_symmetry_Int_Tables_number 123
_symmetry_space_group_name_Hall '-P 4 2'
loop_
_atom_site_label
_atom_site_type_symbol
_atom_site_fract_x
_atom_site_fract_y
_atom_site_fract_z
_atom_site_occupancy
Rb1 Rb 0.000 0.000 0.000 1
In1 In 0.000 0.500 0.500 1
Cu1 Cu 0.500 0.500 0.000 1
Pd1 Pd 0.000 0.000 0.500 1

***

Record 4
# InCuPdRu2 | Alexandria | GGA-PBE | relaxed
# * total DFT energy (no corrections): -4.51 eV per atom
# * Fermi-level density of states: 5.671 states/eV/f.u.
# * DFT formation energy: 1.606 eV/atom
data_InCuPdRu2
_cell_length_a 4.832
_cell_length_b 4.832
_cell_length_c 4.943
_cell_angle_alpha 90.00
_cell_angle_beta 90.00
_cell_angle_gamma 90.00
_symmetry_space_group_name_H-M 'P 4/m m m'
_symmetry_Int_Tables_number 123
_symmetry_space_group_name_Hall '-P 4 2'
loop_
_atom_site_label
_atom_site_type_symbol
_atom_site_fract_x
_atom_site_fract_y
_atom_site_fract_z
_atom_site_occupancy
In1 In 0.000 0.000 0.000 1
Cu1 Cu 0.500 0.500 0.000 1
Pd1 Pd 0.000 0.000 0.500 1
Ru1 Ru 0.000 0.500 0.500 1

***

Record 5
# Sc4InCuPd2 | Alexandria | GGA-PBE | relaxed
# * total DFT energy (no corrections): -5.93 eV per atom
# * Fermi-level density of states: 4.824 states/eV/f.u.
# * DFT formation energy: -0.608 eV/atom
data_Sc4InCuPd2
_cell_length_a 4.7683
_cell_length_b 4.7683
_cell_length_c 23.3052
_cell_angle_alpha 90.00
_cell_angle_beta 90.00
_cell_angle_gamma 120.00
_symmetry_space_group_name_H-M 'R -3 m'
_symmetry_Int_Tables_number 166
_symmetry_space_group_name_Hall '-R 3 2"'
loop_
_atom_site_label
_atom_site_type_symbol
_atom_site_fract_x
_atom_site_fract_y
_atom_site_fract_z
_atom_site_occupancy
Sc1 Sc 0.0000 0.0000 0.1178 1
Sc2 Sc 0.0000 0.0000 0.3690 1
In1 In 0.0000 0.0000 0.5000 1
Cu1 Cu 0.0000 0.0000 0.0000 1
Pd1 Pd 0.0000 0.0000 0.2454 1

***

Record 6
# Sc4InCu2Pd | Alexandria | GGA-PBE | relaxed
# * total DFT energy (no corrections): -5.64 eV per atom
# * Fermi-level density of states: 7.034 states/eV/f.u.
# * DFT formation energy: -0.457 eV/atom
data_Sc4InCu2Pd
_cell_length_a 4.7518
_cell_length_b 4.7518
_cell_length_c 23.3040
_cell_angle_alpha 90.00
_cell_angle_beta 90.00
_cell_angle_gamma 120.00
_symmetry_space_group_name_H-M 'R -3 m'
_symmetry_Int_Tables_number 166
_symmetry_space_group_name_Hall '-R 3 2"'
loop_
_atom_site_label
_atom_site_type_symbol
_atom_site_fract_x
_atom_site_fract_y
_atom_site_fract_z
_atom_site_occupancy
Sc1 Sc 0.0000 0.0000 0.1180 1
Sc2 Sc 0.0000 0.0000 0.3698 1
In1 In 0.0000 0.0000 0.5000 1
Cu1 Cu 0.0000 0.0000 0.2439 1
Pd1 Pd 0.0000 0.0000 0.0000 1